1.
Material: PrY4Zn
Method: DFT, PBE-GGA
State: optimized geometry

a = 8.9352 Å, b = 13.8110 Å, c = 6.2412 Å
α = 90.00°, β = 109.40°, γ = 90.00°
Space group C2/c (No. 15)
Symmetry-distinct sites (fractional):
1 Pr 0.0000 0.1140 0.2500 x4
2 Y 0.1047 0.3189 0.5610 x8
3 Y 0.2220 0.0958 0.8563 x8
4 Zn 0.0000 0.4988 0.7500 x4

E_tot (eV/cell): -128.1



2.
Material: PrY4Zn5
Method: DFT, PBE-GGA
State: optimized geometry

a = 3.6012 Å, b = 3.6012 Å, c = 18.0984 Å
α = 90.00°, β = 90.00°, γ = 90.00°
Space group P4/mmm (No. 123)
Symmetry-distinct sites (fractional):
1 Pr 0.0000 0.0000 0.0000 x1
2 Y 0.0000 0.0000 0.2047 x2
3 Y 0.0000 0.0000 0.4019 x2
4 Zn 0.5000 0.5000 0.1097 x2
5 Zn 0.5000 0.5000 0.3029 x2
6 Zn 0.5000 0.5000 0.5000 x1

E_tot (eV/cell): -40.4



3.
Material: PrY3Zn4
Method: DFT, PBE-GGA
State: optimized geometry

a = 5.0929 Å, b = 5.0929 Å, c = 7.2797 Å
α = 90.00°, β = 90.00°, γ = 90.00°
Space group P4/mmm (No. 123)
Symmetry-distinct sites (fractional):
1 Pr 0.0000 0.0000 0.0000 x1
2 Y 0.0000 0.0000 0.5000 x1
3 Y 0.5000 0.5000 0.0000 x1
4 Y 0.5000 0.5000 0.5000 x1
5 Zn 0.0000 0.5000 0.2597 x4

E_tot (eV/cell): -32.0



4.
Material: PrYZn
Method: DFT, PBE-GGA
State: optimized geometry

a = 3.6618 Å, b = 3.6618 Å, c = 12.4703 Å
α = 90.00°, β = 90.00°, γ = 90.00°
Space group I4mm (No. 107)
Symmetry-distinct sites (fractional):
1 Pr 0.0000 0.0000 0.0000 x2
2 Y 0.0000 0.0000 0.2866 x2
3 Zn 0.0000 0.0000 0.6555 x2

E_tot (eV/cell): -26.3